Record 1
The following is a meta-GGA SCAN calculation of AlGeTe2S at its PBEsol-relaxed geometry, from Alexandria.

abc: 5.3435 5.3435 4.6415
angles: 90.00 90.00 90.00
Closest atoms and distances in Å follow each position.
Element x y z (fractional)
Al  0.0000  0.0000  0.0000  8 Te 3.54, 4 Ge 3.78
Ge  0.5000  0.5000  0.0000  2 S 2.32
Te  0.0000  0.5000  0.5000  2 S 2.67
Te  0.5000  0.0000  0.5000  2 S 2.67
S  0.5000  0.5000  0.5000  2 Ge 2.32

---

Record 2
The following is a meta-GGA SCAN calculation of Y9AlGe3S21 at its PBEsol-relaxed geometry, from Alexandria.

abc: 11.2394 11.2394 11.2394
angles: 96.43 96.43 96.43
Closest atoms and distances in Å follow each position.
Element x y z (fractional)
Y  0.0006  0.1298  0.3450  6 S 2.63-2.86
Y  0.0160  0.6528  0.7982  7 S 2.72-2.92
Y  0.0271  0.8041  0.1688  7 S 2.71-3.00
Y  0.1284  0.4914  0.3550  7 S 2.71-2.85
Y  0.1298  0.3450  0.0006  6 S 2.63-2.86
Y  0.1688  0.0271  0.8041  7 S 2.71-3.00
Y  0.3344  0.4689  0.6988  8 S 2.73-3.02
Y  0.3450  0.0006  0.1298  6 S 2.63-2.86
Y  0.3550  0.1284  0.4914  7 S 2.71-2.85
Y  0.4689  0.6988  0.3344  8 S 2.73-3.02
Y  0.4703  0.8154  0.6850  6 S 2.64-2.86
Y  0.4914  0.3550  0.1284  7 S 2.71-2.85
Y  0.6528  0.7982  0.0160  7 S 2.72-2.92
Y  0.6850  0.4703  0.8154  6 S 2.64-2.86
Y  0.6988  0.3344  0.4689  8 S 2.73-3.02
Y  0.7982  0.0160  0.6528  7 S 2.72-2.92
Y  0.8041  0.1688  0.0271  7 S 2.71-3.00
Y  0.8154  0.6850  0.4703  6 S 2.64-2.86
Al  0.4244  0.4244  0.4244  6 S 2.40-2.47
Al  0.9248  0.9248  0.9248  6 S 2.41-2.47
Ge  0.1318  0.8015  0.4712  4 S 2.18-2.23
Ge  0.2975  0.6358  0.9709  4 S 2.18-2.23
Ge  0.4712  0.1318  0.8015  4 S 2.18-2.23
Ge  0.6358  0.9709  0.2975  4 S 2.18-2.23
Ge  0.8015  0.4712  0.1318  4 S 2.18-2.23
Ge  0.9709  0.2975  0.6358  4 S 2.18-2.23
S  0.0281  0.2949  0.1916  3 Y 2.63-2.75
S  0.0294  0.1163  0.5960  1 Ge 2.22
S  0.0555  0.6382  0.5448  1 Ge 2.22
S  0.0976  0.4224  0.7662  1 Ge 2.18
S  0.1163  0.5960  0.0294  1 Ge 2.22
S  0.1346  0.8885  0.9851  1 Al 2.47, 2 Y 2.71-2.73
S  0.1916  0.0281  0.2949  3 Y 2.63-2.75
S  0.2098  0.7258  0.3093  1 Ge 2.23
S  0.2383  0.3317  0.4788  1 Al 2.40
S  0.2612  0.6897  0.7866  1 Ge 2.23
S  0.2647  0.9236  0.5981  1 Ge 2.18
S  0.2949  0.1916  0.0281  3 Y 2.63-2.75
S  0.3093  0.2098  0.7258  1 Ge 2.23
S  0.3317  0.4788  0.2383  1 Al 2.40
S  0.3527  0.4515  0.9423  1 Ge 2.23
S  0.3685  0.6139  0.5232  1 Al 2.47, 2 Y 2.73
S  0.4026  0.9651  0.8758  1 Ge 2.23
S  0.4224  0.7662  0.0976  1 Ge 2.18
S  0.4515  0.9423  0.3527  1 Ge 2.23
S  0.4788  0.2383  0.3317  1 Al 2.40
S  0.5232  0.3685  0.6139  1 Al 2.47, 2 Y 2.73
S  0.5448  0.0555  0.6382  1 Ge 2.22
S  0.5474  0.6499  0.8125  3 Y 2.64-2.74
S  0.5960  0.0294  0.1163  1 Ge 2.22
S  0.5981  0.2647  0.9236  1 Ge 2.18
S  0.6139  0.5232  0.3685  1 Al 2.47, 2 Y 2.73
S  0.6382  0.5448  0.0555  1 Ge 2.22
S  0.6499  0.8125  0.5474  3 Y 2.64-2.74
S  0.6897  0.7866  0.2612  1 Ge 2.23
S  0.7218  0.9624  0.8637  1 Al 2.41
S  0.7258  0.3093  0.2098  1 Ge 2.23
S  0.7662  0.0976  0.4224  1 Ge 2.18
S  0.7866  0.2612  0.6897  1 Ge 2.23
S  0.8125  0.5474  0.6499  3 Y 2.64-2.74
S  0.8637  0.7218  0.9624  1 Al 2.41
S  0.8758  0.4026  0.9651  1 Ge 2.23
S  0.8885  0.9851  0.1346  1 Al 2.47, 2 Y 2.71-2.73
S  0.9236  0.5981  0.2647  1 Ge 2.18
S  0.9423  0.3527  0.4515  1 Ge 2.23
S  0.9624  0.8637  0.7218  1 Al 2.41
S  0.9651  0.8758  0.4026  1 Ge 2.23
S  0.9851  0.1346  0.8885  1 Al 2.47, 2 Y 2.71-2.73

---

no.,raw formation energy (eV/atom)
1,0.668
2,-1.794